Entry 1:
Below is an optimized crystal structure of PuZn12, with properties calculated at the PBE-GGA level.

```
PuZn12
1.0
-4.4522 4.4522 2.6185
4.4522 -4.4522 2.6185
4.4522 4.4522 -2.6185
Pu Zn
1 12
direct
0.0000 0.0000 0.0000 Pu
0.0000 0.0000 0.5000 Zn
0.0000 0.3538 0.3538 Zn
0.0000 0.5000 0.0000 Zn
0.0000 0.6462 0.6462 Zn
0.2829 0.5000 0.7829 Zn
0.3538 0.0000 0.3538 Zn
0.5000 0.0000 0.0000 Zn
0.5000 0.2829 0.7829 Zn
0.5000 0.5000 0.5000 Zn
0.5000 0.7171 0.2171 Zn
0.6462 0.0000 0.6462 Zn
0.7171 0.5000 0.2171 Zn
```

Computed properties:
- energy relative to the elements (eV/atom) = -0.105
- theoretical density (Mg/m³) = 8.2
- M_tot (μB per cell) = 5.566
- symmetry = I4/mmm
- raw total energy (eV/atom) = -2.383
- Fermi-level density of states (states/eV/cell) = 11.862

Entry 2:
Below is an optimized crystal structure of PuZn5, with properties calculated at the PBE-GGA level.

```
PuZn5
1.0
2.2742 -5.3141 0.0000
2.2742 5.3141 0.0000
0.0000 0.0000 4.5174
Pu Zn
1 5
direct
0.0000 0.0000 0.0000 Pu
0.1809 0.8191 0.5000 Zn
0.3151 0.6849 0.0000 Zn
0.5000 0.5000 0.5000 Zn
0.6849 0.3151 0.0000 Zn
0.8191 0.1809 0.5000 Zn
```

Computed properties:
- energy relative to the elements (eV/atom) = 0.016
- theoretical density (Mg/m³) = 8.7
- M_tot (μB per cell) = 5.598
- symmetry = Cmmm
- raw total energy (eV/atom) = -3.435
- Fermi-level density of states (states/eV/cell) = 12.959